VASP calculation (PBE) on AcLa3Pb2 after structural relaxation.

POSCAR file:
```
AcLa3Pb2
1.0
4.8980 0.0000 0.0000
-2.4490 10.7040 -0.5509
0.0000 -5.2469 8.6240
La Pb Ac
6 4 2
direct
0.3531 0.7061 0.1858 La
0.0573 0.1145 0.4281 La
0.9427 0.8855 0.5719 La
0.3076 0.6152 0.5071 La
0.6924 0.3848 0.4929 La
0.6469 0.2939 0.8142 La
0.4916 0.9831 0.8316 Pb
0.7575 0.5151 0.2272 Pb
0.2425 0.4849 0.7728 Pb
0.5084 0.0169 0.1684 Pb
0.1156 0.2311 0.0982 Ac
0.8844 0.7689 0.9018 Ac
```

Computed properties:
* distance to the lowest polymorph of the same formula: 0.00 kcal/mol of atoms
* size of the total moment: 1.4 μB per cell

VASP calculation (PBE) on CsAc2In after structural relaxation.

POSCAR file:
```
CsAc2In
1.0
4.2252 0.0000 0.0000
0.0000 4.2252 0.0000
0.0000 0.0000 11.3392
Ac Cs In
2 1 1
direct
0.0000 0.0000 0.1600 Ac
0.0000 0.0000 0.8400 Ac
0.5000 0.5000 0.5000 Cs
0.5000 0.5000 0.0000 In
```

Computed properties:
* distance to the lowest polymorph of the same formula: 0.00 kcal/mol of atoms
* size of the total moment: 0.3 μB per cell

VASP calculation (PBE) on CsHI3 after structural relaxation.

POSCAR file:
```
CsHI3
1.0
8.3334 0.0000 0.0000
0.0000 8.3334 0.0000
4.1667 4.1667 5.7436
I Cs H
6 2 2
direct
0.1665 0.1665 0.6670 I
0.2933 0.2933 0.0000 I
0.7067 0.2933 0.0000 I
0.7067 0.7067 0.0000 I
0.8335 0.8335 0.3330 I
0.2933 0.7067 0.0000 I
0.2500 0.7500 0.5000 Cs
0.7500 0.2500 0.5000 Cs
0.0000 0.0000 0.0000 H
0.5000 0.5000 0.0000 H
```

Computed properties:
* distance to the lowest polymorph of the same formula: 6.58 kcal/mol of atoms
* size of the total moment: 0.0 μB per cell

VASP calculation (PBE) on CaOsPt2 after structural relaxation.

POSCAR file:
```
CaOsPt2
1.0
4.6159 0.0000 0.0000
2.3080 3.9975 0.0000
2.3080 1.3325 3.7689
Pt Os Ca
2 1 1
direct
0.2500 0.2500 0.2500 Pt
0.0000 0.0000 0.0000 Pt
0.7500 0.7500 0.7500 Os
0.5000 0.5000 0.5000 Ca
```

Computed properties:
* distance to the lowest polymorph of the same formula: 10.01 kcal/mol of atoms
* size of the total moment: 2.1 μB per cell

VASP calculation (PBE) on BaFeSi2 after structural relaxation.

POSCAR file:
```
BaFeSi2
1.0
-0.4627 -0.0698 4.8644
3.7818 -1.3287 2.7953
2.3157 3.3325 2.7228
Si Fe Ba
2 1 1
direct
0.0000 0.0000 0.0000 Si
0.2500 0.2500 0.2500 Si
0.7500 0.7500 0.7500 Fe
0.5000 0.5000 0.5000 Ba
```

Computed properties:
* formation energy from raw total energies: 0.6981 eV/atom
* size of the total moment: 2.4 μB per cell

VASP calculation (PBE) on DyGa5Cu2Pd after structural relaxation.

POSCAR file:
```
DyGa5Cu2Pd
1.0
-3.9564 0.6103 -1.0916
0.3580 -2.9176 -2.9287
-2.9735 -7.1631 6.7726
Cu Ga Dy Pd
2 5 1 1
direct
0.5000 0.5000 0.7205 Cu
0.5000 0.5000 0.2795 Cu
0.0000 0.5000 0.1529 Ga
0.5000 0.0000 0.1529 Ga
0.0000 0.5000 0.8471 Ga
0.5000 0.5000 0.5000 Ga
0.5000 0.0000 0.8471 Ga
0.0000 0.0000 0.5000 Dy
0.0000 0.0000 0.0000 Pd
```

Computed properties:
* electronic total energy: -3.82 eV per atom
* size of the total moment: 0.0 μB per cell

VASP calculation (PBE) on Pu2UTc2 after structural relaxation.

POSCAR file:
```
Pu2UTc2
1.0
4.3325 0.0000 0.0000
0.0000 4.3325 0.0000
-2.1663 -2.1663 9.5134
Tc Pu U
4 4 2
direct
0.0764 0.5764 0.1528 Tc
0.6736 0.6736 0.3472 Tc
0.3264 0.3264 0.6528 Tc
0.4236 0.9236 0.8472 Tc
0.1646 0.1646 0.3293 Pu
0.8354 0.8354 0.6707 Pu
0.5854 0.0854 0.1707 Pu
0.9146 0.4146 0.8293 Pu
0.5000 0.5000 0.0000 U
0.2500 0.7500 0.5000 U
```

Computed properties:
* electronic total energy: -11.76 eV per atom
* size of the total moment: 0.0 μB per cell

VASP calculation (PBE) on Y3MnGa after structural relaxation.

POSCAR file:
```
Y3MnGa
1.0
4.9696 0.0000 0.0000
0.0000 4.9696 0.0000
0.0000 0.0000 4.9696
Y Mn Ga
3 1 1
direct
0.0000 0.0000 0.5000 Y
0.5000 0.0000 0.0000 Y
0.0000 0.5000 0.0000 Y
0.0000 0.0000 0.0000 Mn
0.5000 0.5000 0.5000 Ga
```

Computed properties:
* electronic total energy: -6.08 eV per atom
* size of the total moment: 0.0 μB per cell